No. 1
LiSN2F | PBEsol | optimized geometry

Computed properties:
Total magnetization   5.3 Bohr magnetons per cell
DFT total energy   -3.32 eV/atom
Crystal system   tetragonal
Volume   16.086 Å³ per atom

CIF file:
```
data_LiSN2F
_symmetry_space_group_name_H-M 'P 1'
_symmetry_Int_Tables_number 1
_cell_length_a 3.781
_cell_length_b 4.612
_cell_length_c 4.612
_cell_angle_alpha 90.00
_cell_angle_beta 90.00
_cell_angle_gamma 90.00
loop_
_symmetry_equiv_pos_as_xyz
'x,y,z'
loop_
_atom_site_label
_atom_site_type_symbol
_atom_site_fract_x
_atom_site_fract_y
_atom_site_fract_z
S1 S 0.500 0.000 0.000
N1 N 0.000 0.000 0.500
N2 N 0.000 0.500 0.000
Li1 Li 0.500 0.500 0.500
F1 F 0.000 0.000 0.000
```

---

No. 2
Fe2Rh3 | PBEsol | optimized geometry

Computed properties:
Total magnetization   5.3 Bohr magnetons per cell
DFT total energy   -8.43 eV/atom
Crystal system   trigonal
Formation energy from the elements   0.034 eV per atom
Volume   12.653 Å³ per atom

CIF file:
```
data_Fe2Rh3
_symmetry_space_group_name_H-M 'P 1'
_symmetry_Int_Tables_number 1
_cell_length_a 2.636
_cell_length_b 2.636
_cell_length_c 10.620
_cell_angle_alpha 82.87
_cell_angle_beta 82.87
_cell_angle_gamma 60.00
loop_
_symmetry_equiv_pos_as_xyz
'x,y,z'
loop_
_atom_site_label
_atom_site_type_symbol
_atom_site_fract_x
_atom_site_fract_y
_atom_site_fract_z
Fe1 Fe 0.400 0.400 0.801
Fe2 Fe 0.600 0.600 0.199
Rh1 Rh 0.000 0.000 0.000
Rh2 Rh 0.202 0.202 0.393
Rh3 Rh 0.798 0.798 0.607
```

---

Number 1: offset from the most stable computed form 1.619 eV/atom. Number 2: offset from the most stable computed form 0.015 eV/atom.